! Y3SnHg2, optimized geometry, DFT PBE; values from VASP
&SYSTEM
  ibrav = 0, nat = 6, ntyp = 3
/
ATOMIC_SPECIES
Y 88.91 Y.upf
Sn 118.71 Sn.upf
Hg 200.59 Hg.upf
ATOMIC_POSITIONS angstrom
Y 1.864 2.506 -0.830
Y 1.864 4.183 4.237
Y 1.864 0.835 2.521
Sn 0.000 0.000 0.000
Hg 0.000 1.633 4.933
Hg 0.000 3.385 1.825
CELL_PARAMETERS angstrom
3.728 0.000 0.000
0.000 5.012 -1.659
0.000 0.006 8.417
! symmetry: Cmmm
! crystal system: orthorhombic
! final energy: -27.44 eV for the cell shown
! ΔE_f: -0.57 eV/atom